VASP calculation (PBE) on a geometry-optimized Cd3InHg6Pb structure.

Unit cell a=6.8437 b=6.8437 c=6.8437 alpha=102.12 beta=102.12 gamma=102.12
With the nearest neighbours (Å) after each atom.
Sites, in units of the cell vectors:
1 Cd 0.0390 0.2327 0.7283  5 Hg 2.90-3.10, 1 Pb 3.23
2 Cd 0.2327 0.7283 0.0390  5 Hg 2.90-3.10, 1 Pb 3.23
3 Cd 0.7283 0.0390 0.2327  5 Hg 2.90-3.10, 1 Pb 3.23
4 In 0.2024 0.2024 0.2024  6 Hg 3.19-3.23, 3 Cd 3.27
5 Hg 0.0661 0.8422 0.4232  4 Hg 3.03-3.30, 3 Cd 3.09-3.10, 1 In 3.23
6 Hg 0.2921 0.5641 0.6150  2 Cd 2.90-3.03, 3 Hg 3.03-3.20, 1 In 3.19
7 Hg 0.4232 0.0661 0.8422  4 Hg 3.03-3.30, 3 Cd 3.09-3.10, 1 In 3.23
8 Hg 0.5641 0.6150 0.2921  2 Cd 2.90-3.03, 3 Hg 3.03-3.20, 1 In 3.19
9 Hg 0.6150 0.2921 0.5641  2 Cd 2.90-3.03, 3 Hg 3.03-3.20, 1 In 3.19
10 Hg 0.8422 0.4232 0.0661  4 Hg 3.03-3.30, 3 Cd 3.09-3.10, 1 In 3.23
11 Pb 0.8048 0.8048 0.8048  3 Cd 3.23, 6 Hg 3.39-3.48, 1 In 3.59

Properties
The value obtained for the formation enthalpy at 0 K is 0.043 eV/atom.


VASP calculation (PBE) on a geometry-optimized Ac2TmSn structure.

Unit cell a=4.4314 b=4.4314 c=7.2880 alpha=90.00 beta=90.00 gamma=90.00
With the nearest neighbours (Å) after each atom.
Sites, in units of the cell vectors:
1 Ac 0.0000 0.0000 0.2329  1 Ac 3.39, 4 Sn 3.56, 4 Tm 3.69
2 Ac 0.0000 0.0000 0.7671  1 Ac 3.39, 4 Sn 3.56, 4 Tm 3.69
3 Tm 0.5000 0.5000 0.5000  2 Sn 3.64, 8 Ac 3.69
4 Sn 0.5000 0.5000 0.0000  8 Ac 3.56, 2 Tm 3.64

Properties
The energy above the lowest structure with this stoichiometry comes out at 6.7 kJ/mol of atoms. The value obtained for the formation enthalpy at 0 K is -0.266 eV/atom.


VASP calculation (PBE) on a geometry-optimized Li2PtAu structure.

Unit cell a=3.0856 b=3.0856 c=6.1369 alpha=90.00 beta=90.00 gamma=90.00
With the nearest neighbours (Å) after each atom.
Sites, in units of the cell vectors:
1 Li 0.0000 0.0000 0.0000  4 Au 2.62, 4 Li 2.63, 1 Pt 2.79
2 Li 0.5000 0.5000 0.2403  4 Pt 2.55, 4 Li 2.63
3 Pt 0.0000 0.0000 0.4544  5 Li 2.55-2.79
4 Au 0.5000 0.5000 0.7629  5 Li 2.62-2.93, 4 Pt 2.89

Properties
The value obtained for the formation enthalpy at 0 K is -0.357 eV/atom.


VASP calculation (PBE) on a geometry-optimized TlAgSe3 structure.

Unit cell a=5.6957 b=7.5322 c=7.5532 alpha=71.02 beta=83.21 gamma=85.05
With the nearest neighbours (Å) after each atom.
Sites, in units of the cell vectors:
1 Tl 0.0000 0.0000 0.0000  3 Se 2.84-3.00
2 Tl 0.0178 0.6138 0.5773  4 Se 2.90-3.05
3 Ag 0.5445 0.6359 0.1983  4 Se 2.61-2.73
4 Ag 0.5620 0.1786 0.6208  4 Se 2.63-2.80
5 Se 0.1743 0.2343 0.4088  2 Se 2.38-2.42
6 Se 0.2913 0.4081 0.0835  2 Se 2.40-2.42
7 Se 0.5002 0.9978 0.9839  2 Ag 2.63-2.69, 2 Tl 2.84-2.87
8 Se 0.5269 0.5463 0.5641  2 Ag 2.61-2.65, 2 Tl 2.90
9 Se 0.8819 0.0244 0.4153  1 Se 2.38
10 Se 0.9525 0.6125 0.9838  1 Se 2.40

Properties
The value obtained for the raw formation energy is -0.34 eV per formula unit. The energy above the lowest structure with this stoichiometry comes out at 0.0 kJ/mol of atoms.


Number 1: Fermi-level density of states 3.29 states/eV per cell, uncorrected energy -0.96 eV/atom. Number 2: Fermi-level density of states 4.24 states/eV per cell, uncorrected energy -4.44 eV/atom. Number 3: Fermi-level density of states 0.87 states/eV per cell, uncorrected energy -3.64 eV/atom. Number 4: Fermi-level density of states 4.40 states/eV per cell, uncorrected energy -3.20 eV/atom.